A) Entry from Alexandria via LeMat-Bulk: crystalline Sc2AgPd4 at its relaxed geometry (GGA-PBE).

Cell: 4.8798 4.8798 13.1830 Å, 90.00 90.00 90.00°
Last column: nearest neighbours and their distance in Å.
Space group I4/mmm (No. 139)
One atom of each set of equivalent atoms:
Sc (0.0000, 0.0000, 0.1199) (multiplicity 4)  1 Pd 2.36
Ag (0.0000, 0.0000, 0.5000) (multiplicity 2)  6 Pd 2.44-2.65
Pd (0.0000, 0.0000, 0.2989) (multiplicity 4)  1 Sc 2.36
Pd (0.0000, 0.5000, 0.0000) (multiplicity 4)  2 Ag 2.44

**Spin magnetization**: 0.000 μB/atom


B) Entry from Alexandria via LeMat-Bulk: crystalline Sc2AgPd4 at its relaxed geometry (GGA-PBE).

Cell: 3.8624 3.8624 18.3308 Å, 90.00 90.00 90.00°
Last column: nearest neighbours and their distance in Å.
Space group I4/mmm (No. 139)
One atom of each set of equivalent atoms:
Sc (0.0000, 0.0000, 0.1257) (multiplicity 4)  8 Pd 2.75-2.99
Ag (0.0000, 0.0000, 0.5000) (multiplicity 2)  2 Pd 2.63
Pd (0.0000, 0.0000, 0.3565) (multiplicity 4)  1 Ag 2.63, 4 Pd 2.75, 4 Sc 2.75
Pd (0.0000, 0.5000, 0.2500) (multiplicity 4)  8 Pd 2.73-2.75, 4 Sc 2.99

**Spin magnetization**: 0.000 μB/atom


It is B) that is the most stable of them.